1.
Entry from the Alexandria database: an optimized crystal structure of Th8Tc3RhSe4 (GGA-PBE).

a b c (Å): 8.2198 8.7693 8.2185
angles (deg): 117.94 120.00 90.00
Fractional coordinates of all 16 atoms:
1 Th 0.2419 0.7150 0.9742
2 Th 0.2413 0.7142 0.4825
3 Th 0.2607 0.2828 0.5213
4 Th 0.7323 0.7150 0.9742
5 Th 0.2677 0.2850 0.0258
6 Th 0.7393 0.7172 0.4787
7 Th 0.7587 0.2858 0.5175
8 Th 0.7581 0.2850 0.0258
9 Tc 0.5000 0.5000 0.0000
10 Tc 0.5000 0.5000 0.5000
11 Tc 0.0000 0.5000 0.5000
12 Rh 0.0000 0.5000 0.0000
13 Se 0.5000 0.0000 0.0000
14 Se 0.5000 0.0000 0.5000
15 Se 0.0000 0.0000 0.0000
16 Se 0.0000 0.0000 0.5000

Total magnetic moment in μB per formula unit: 0.00
Formation energy without anion corrections in eV/f.u.: -14.654
Total energy in eV per atom: -7.900
V in Å³/atom: 26.96
Density of states at the Fermi level in states/eV per atom: 0.505

2.
Entry from the Alexandria database: an optimized crystal structure of Ti2TcRhSe (GGA-PBE).

a b c (Å): 4.5900 4.4634 4.5900
angles (deg): 90.00 90.00 90.00
Fractional coordinates of all 5 atoms:
1 Rh 0.5000 0.5000 0.5000
2 Tc 0.0000 0.5000 0.0000
3 Se 0.0000 0.0000 0.0000
4 Ti 0.0000 0.0000 0.5000
5 Ti 0.5000 0.0000 0.0000

Total magnetic moment in μB per formula unit: 0.00
Formation energy without anion corrections in eV/f.u.: 2.437
Total energy in eV per atom: -6.911
V in Å³/atom: 18.81
Density of states at the Fermi level in states/eV per atom: 1.863

3.
Entry from the Alexandria database: an optimized crystal structure of TiTc2RhSe (GGA-PBE).

a b c (Å): 4.7188 4.6727 4.7188
angles (deg): 90.00 90.00 90.00
Fractional coordinates of all 5 atoms:
1 Rh 0.0000 0.0000 0.0000
2 Tc 0.0000 0.0000 0.5000
3 Tc 0.5000 0.0000 0.0000
4 Se 0.5000 0.5000 0.5000
5 Ti 0.0000 0.5000 0.0000

Total magnetic moment in μB per formula unit: 1.57
Formation energy without anion corrections in eV/f.u.: 6.127
Total energy in eV per atom: -6.667
V in Å³/atom: 20.81
Density of states at the Fermi level in states/eV per atom: 1.364

4.
Entry from the Alexandria database: an optimized crystal structure of Te3RhSe (GGA-PBE).

a b c (Å): 5.1945 5.1945 5.1945
angles (deg): 90.00 90.00 90.00
Fractional coordinates of all 5 atoms:
1 Te 0.0000 0.5000 0.0000
2 Te 0.0000 0.0000 0.5000
3 Te 0.5000 0.0000 0.0000
4 Rh 0.0000 0.0000 0.0000
5 Se 0.5000 0.5000 0.5000

Total magnetic moment in μB per formula unit: 0.00
Formation energy without anion corrections in eV/f.u.: 2.149
Total energy in eV per atom: -3.622
V in Å³/atom: 28.03
Energy above the lowest structure with this stoichiometry in meV per atom: 0
Density of states at the Fermi level in states/eV per atom: 1.135

5.
Entry from the Alexandria database: an optimized crystal structure of Te2Rh3Se2 (GGA-PBE).

a b c (Å): 3.9261 6.5998 6.8272
angles (deg): 118.84 106.71 90.00
Fractional coordinates of all 7 atoms:
1 Te 0.6337 0.2956 0.2674
2 Te 0.3663 0.7044 0.7326
3 Rh 0.0000 0.0000 0.0000
4 Rh 0.7361 0.7658 0.4722
5 Rh 0.2639 0.2342 0.5278
6 Se 0.8751 0.2012 0.7503
7 Se 0.1249 0.7988 0.2497

Total magnetic moment in μB per formula unit: 0.00
Formation energy without anion corrections in eV/f.u.: -2.580
Total energy in eV per atom: -5.412
V in Å³/atom: 20.91
Energy above the lowest structure with this stoichiometry in meV per atom: 0
Density of states at the Fermi level in states/eV per atom: 0.763

6.
Entry from the Alexandria database: an optimized crystal structure of TeRhSe3 (GGA-PBE).

a b c (Å): 4.8928 4.8928 4.8928
angles (deg): 90.00 90.00 90.00
Fractional coordinates of all 5 atoms:
1 Te 0.5000 0.5000 0.5000
2 Rh 0.0000 0.0000 0.0000
3 Se 0.0000 0.5000 0.0000
4 Se 0.0000 0.0000 0.5000
5 Se 0.5000 0.0000 0.0000

Total magnetic moment in μB per formula unit: 0.00
Formation energy without anion corrections in eV/f.u.: 1.544
Total energy in eV per atom: -3.881
V in Å³/atom: 23.43
Energy above the lowest structure with this stoichiometry in meV per atom: 0
Density of states at the Fermi level in states/eV per atom: 1.165

7.
Entry from the Alexandria database: an optimized crystal structure of TeRh4Se (GGA-PBE).

a b c (Å): 5.2704 5.2704 5.2704
angles (deg): 60.00 60.00 60.00
Fractional coordinates of all 6 atoms:
1 Te 0.0000 0.0000 0.0000
2 Rh 0.6248 0.6248 0.1257
3 Rh 0.6248 0.1257 0.6248
4 Rh 0.6248 0.6248 0.6248
5 Rh 0.1257 0.6248 0.6248
6 Se 0.2500 0.2500 0.2500

Total magnetic moment in μB per formula unit: 0.00
Formation energy without anion corrections in eV/f.u.: 2.739
Total energy in eV per atom: -5.549
V in Å³/atom: 17.25
Density of states at the Fermi level in states/eV per atom: 1.886

8.
Entry from the Alexandria database: an optimized crystal structure of TeRhSe4 (GGA-PBE).

a b c (Å): 3.7804 9.8139 6.6784
angles (deg): 40.06 90.00 101.11
Fractional coordinates of all 6 atoms:
1 Te 0.0000 0.0000 0.5000
2 Rh 0.5000 0.0000 0.0000
3 Se 0.1154 0.2308 0.8811
4 Se 0.8846 0.7692 0.1189
5 Se 0.6274 0.2548 0.4154
6 Se 0.3726 0.7452 0.5846

Total magnetic moment in μB per formula unit: 0.00
Formation energy without anion corrections in eV/f.u.: -1.083
Total energy in eV per atom: -4.252
V in Å³/atom: 25.36
Energy above the lowest structure with this stoichiometry in meV per atom: 0
Density of states at the Fermi level in states/eV per atom: 0.658

9.
Entry from the Alexandria database: an optimized crystal structure of Te3RhSe (GGA-PBE).

a b c (Å): 5.3744 5.3744 5.3744
angles (deg): 90.00 90.00 90.00
Fractional coordinates of all 5 atoms:
1 Te 0.0000 0.5000 0.0000
2 Te 0.0000 0.0000 0.5000
3 Te 0.5000 0.0000 0.0000
4 Rh 0.5000 0.5000 0.5000
5 Se 0.0000 0.0000 0.0000

Total magnetic moment in μB per formula unit: 2.03
Formation energy without anion corrections in eV/f.u.: 5.275
Total energy in eV per atom: -2.997
V in Å³/atom: 31.05
Energy above the lowest structure with this stoichiometry in meV per atom: 625
Density of states at the Fermi level in states/eV per atom: 1.002

10.
Entry from the Alexandria database: an optimized crystal structure of Te2Rh2Se (GGA-PBE).

a b c (Å): 6.6101 6.6101 5.2070
angles (deg): 59.88 59.88 33.47
Fractional coordinates of all 5 atoms:
1 Te 0.8121 0.8121 0.6716
2 Te 0.1879 0.1879 0.3284
3 Rh 0.4098 0.4098 0.8134
4 Rh 0.5902 0.5902 0.1866
5 Se 0.0000 0.0000 0.0000

Total magnetic moment in μB per formula unit: 0.00
Formation energy without anion corrections in eV/f.u.: -1.159
Total energy in eV per atom: -5.126
V in Å³/atom: 21.37
Density of states at the Fermi level in states/eV per atom: 0.390

11.
Entry from the Alexandria database: an optimized crystal structure of TeRhSe4 (GGA-PBE).

a b c (Å): 5.6677 5.6677 5.6677
angles (deg): 60.00 60.00 60.00
Fractional coordinates of all 6 atoms:
1 Te 0.7500 0.7500 0.7500
2 Rh 0.0000 0.0000 0.0000
3 Se 0.3727 0.8818 0.3727
4 Se 0.8818 0.3727 0.3727
5 Se 0.3727 0.3727 0.8818
6 Se 0.3727 0.3727 0.3727

Total magnetic moment in μB per formula unit: 1.00
Formation energy without anion corrections in eV/f.u.: 5.335
Total energy in eV per atom: -3.183
V in Å³/atom: 21.46
Energy above the lowest structure with this stoichiometry in meV per atom: 1070
Density of states at the Fermi level in states/eV per atom: 1.299

12.
Entry from the Alexandria database: an optimized crystal structure of Te2Rh3Se2 (GGA-PBE).

a b c (Å): 3.7179 6.3424 6.9074
angles (deg): 99.02 89.98 107.02
Fractional coordinates of all 7 atoms:
1 Te 0.8598 0.7201 0.6380
2 Te 0.1402 0.2799 0.3620
3 Rh 0.0000 0.0000 0.0000
4 Rh 0.7690 0.5380 0.2561
5 Rh 0.2310 0.4620 0.7439
6 Se 0.6335 0.2672 0.9377
7 Se 0.3665 0.7328 0.0623

Total magnetic moment in μB per formula unit: 0.00
Formation energy without anion corrections in eV/f.u.: -1.749
Total energy in eV per atom: -5.294
V in Å³/atom: 21.95
Energy above the lowest structure with this stoichiometry in meV per atom: 119
Density of states at the Fermi level in states/eV per atom: 0.529